# 1
Entry from the Alexandria database: a relaxed structure of Ca2HPd (PBE).

Geometry as CIF:
```
data_Ca2HPd
_cell_length_a 3.390
_cell_length_b 3.390
_cell_length_c 7.181
_cell_angle_alpha 90.00
_cell_angle_beta 90.00
_cell_angle_gamma 90.00
_symmetry_space_group_name_H-M 'P 4/m m m'
_symmetry_Int_Tables_number 123
_symmetry_space_group_name_Hall '-P 4 2'
loop_
_atom_site_label
_atom_site_fract_x
_atom_site_fract_y
_atom_site_fract_z
Ca1 0.000 0.000 0.248
H1 0.500 0.500 0.500
Pd1 0.500 0.500 0.000
```

Computed properties:
Energy   -3.46 eV/atom
Crystal system   tetragonal

# 2
Entry from the Alexandria database: a relaxed structure of La2CdIr (PBE).

Geometry as CIF:
```
data_La2CdIr
_cell_length_a 3.642
_cell_length_b 4.754
_cell_length_c 12.962
_cell_angle_alpha 90.00
_cell_angle_beta 90.00
_cell_angle_gamma 90.00
_symmetry_space_group_name_H-M 'I m m 2'
_symmetry_Int_Tables_number 44
loop_
_symmetry_equiv_pos_as_xyz
'x,y,z'
'-x,-y,z'
'-x,y,z'
'x,-y,z'
'x+1/2,y+1/2,z+1/2'
'-x+1/2,-y+1/2,z+1/2'
'-x+1/2,y+1/2,z+1/2'
'x+1/2,-y+1/2,z+1/2'
loop_
_atom_site_label
_atom_site_fract_x
_atom_site_fract_y
_atom_site_fract_z
La1 0.000 0.000 0.000
La2 0.000 0.500 0.198
Cd1 0.000 0.500 0.824
Ir1 0.000 0.000 0.515
```

Computed properties:
Energy   -5.31 eV/atom
Crystal system   orthorhombic
ΔH_f (0 K)   -0.401 eV/atom

The lowest energy belongs to which entry?
La2CdIr